! La2PrNd2Y4, relaxed, DFT PBE; values from VASP
! **Formation energy**: -0.04 eV per formula unit
! **Crystal system**: monoclinic
! **VASP energy**: -5.563 eV/atom
&SYSTEM
  ibrav = 0, nat = 9, ntyp = 4
/
ATOMIC_SPECIES
La 138.91 La.upf
Pr 140.91 Pr.upf
Nd 144.24 Nd.upf
Y 88.91 Y.upf
CELL_PARAMETERS angstrom
9.545 -1.843 0.000
9.545 1.843 0.000
-4.248 0.000 8.802
ATOMIC_POSITIONS crystal
La 0.166 0.166 0.001
La 0.834 0.834 0.999
Pr 0.500 0.500 0.000
Nd 0.352 0.352 0.336
Nd 0.648 0.648 0.664
Y 0.020 0.020 0.335
Y 0.315 0.315 0.662
Y 0.685 0.685 0.338
Y 0.980 0.980 0.665